Entry 1:
Computed, not measured: a relaxed structure of ZrZnAg at the PBE level of DFT.

Calculated values
Total moment (μB per cell): 0.0
Total DFT energy (no corrections) (eV/atom): -4.344
Energy of formation (kJ per mole of atoms): -11.6
D(E_F) (states/eV/atom): 0.65

Unit cell a=3.0612 b=3.0612 c=11.6905 alpha=90.00 beta=90.00 gamma=90.00
Space group I4mm (No. 107)
Symmetry-distinct sites (fractional):
Zr 0.0000 0.0000 0.0000
Zn 0.0000 0.0000 0.3330
Ag 0.0000 0.0000 0.6871



Entry 2:
Computed, not measured: a relaxed structure of Hf2Ge2Br at the PBE level of DFT.

Calculated values
Total moment (μB per cell): 0.0
Total DFT energy (no corrections) (eV/atom): -6.617
Energy relative to the elements, uncorrected (meV/atom): -454.5
D(E_F) (states/eV/atom): 0.65

Unit cell a=7.5790 b=7.5790 c=3.5024 alpha=90.00 beta=90.00 gamma=90.00
Space group P4/mbm (No. 127)
Symmetry-distinct sites (fractional):
Hf 0.1680 0.3320 0.0000
Ge 0.1252 0.6252 0.5000
Br 0.0000 0.0000 0.0000



Entry 3:
Computed, not measured: a relaxed structure of TiBiSe2 at the PBE level of DFT.

Calculated values
Total moment (μB per cell): 1.4
Total DFT energy (no corrections) (eV/atom): -5.469
Energy relative to the elements, uncorrected (meV/atom): -782.6
D(E_F) (states/eV/atom): 0.53

Unit cell a=9.0814 b=3.5454 c=6.1710 alpha=90.00 beta=90.00 gamma=90.00
Space group Amm2 (No. 38)
Symmetry-distinct sites (fractional):
Ti 0.0000 0.0000 0.0000
Bi 0.5000 0.0000 0.6667
Se 0.1730 0.0000 0.6669



Entry 4:
Computed, not measured: a relaxed structure of Y4Zn3 at the PBE level of DFT.

Calculated values
Total moment (μB per cell): 0.0
Total DFT energy (no corrections) (eV/atom): -4.450
Energy of formation (kJ per mole of atoms): -20.3
D(E_F) (states/eV/atom): 1.29

Unit cell a=5.0264 b=5.0264 c=24.2999 alpha=90.00 beta=90.00 gamma=120.00
Space group R-3m (No. 166, hexagonal axes)
Symmetry-distinct sites (fractional):
Y 0.0000 0.0000 0.1214
Y 0.0000 0.0000 0.3729
Zn 0.0000 0.0000 0.2478
Zn 0.0000 0.0000 0.5000



Entry 5:
Computed, not measured: a relaxed structure of BaSm2NpN4 at the PBE level of DFT.

Calculated values
Total moment (μB per cell): 11.6
Total DFT energy (no corrections) (eV/atom): -8.218
Energy relative to the elements, uncorrected (meV/atom): -1018.0
D(E_F) (states/eV/atom): 0.58

Unit cell a=3.6561 b=13.4126 c=12.6445 alpha=90.00 beta=90.00 gamma=90.00
Space group Cmcm (No. 63)
Symmetry-distinct sites (fractional):
Ba 0.0000 0.0327 0.2500
Sm 0.0000 0.3718 0.0329
Np 0.0000 0.2288 0.7500
N 0.0000 0.0000 0.0000
N 0.0000 0.2414 0.5960
N 0.0000 0.3740 0.2500



Entry 6:
Computed, not measured: a relaxed structure of TcGeIr2 at the PBE level of DFT.

Calculated values
Total moment (μB per cell): 0.0
Total DFT energy (no corrections) (eV/atom): -7.593
Energy of formation (kJ per mole of atoms): 56.3
D(E_F) (states/eV/atom): 1.16

Unit cell a=5.4994 b=5.4994 c=11.3765 alpha=90.00 beta=90.00 gamma=90.00
Space group I-42d (No. 122)
Symmetry-distinct sites (fractional):
Tc 0.0000 0.0000 0.0000
Ge 0.0000 0.0000 0.5000
Ir 0.2461 0.2500 0.1250



Entry 7:
Computed, not measured: a relaxed structure of Pm6TlTe5 at the PBE level of DFT.

Calculated values
Total moment (μB per cell): 0.0
Total DFT energy (no corrections) (eV/atom): -5.144
Energy relative to the elements, uncorrected (meV/atom): -1262.9
D(E_F) (states/eV/atom): 0.57

Unit cell a=7.7722 b=13.4113 c=7.7579 alpha=90.00 beta=109.32 gamma=90.00
Space group C2/m (No. 12)
Symmetry-distinct sites (fractional):
Pm 0.2448 0.0000 0.2535
Pm 0.2451 0.1638 0.7456
Tl 0.0000 0.0000 0.5000
Te 0.0000 0.1690 0.0000
Te 0.0000 0.3338 0.5000
Te 0.0000 0.5000 0.0000



Entry 8:
Computed, not measured: a relaxed structure of LaGe4Bi at the PBE level of DFT.

Calculated values
Total moment (μB per cell): 0.0
Total DFT energy (no corrections) (eV/atom): -4.738
Energy of formation (kJ per mole of atoms): -18.5
D(E_F) (states/eV/atom): 0.61

Unit cell a=8.1855 b=8.1855 c=8.1855 alpha=90.00 beta=90.00 gamma=90.00
Space group F-43m (No. 216)
Symmetry-distinct sites (fractional):
La 0.0000 0.0000 0.0000
Ge 0.1245 0.1245 0.3755
Bi 0.2500 0.2500 0.7500



Entry 9:
Computed, not measured: a relaxed structure of PmErSc2As4 at the PBE level of DFT.

Calculated values
Total moment (μB per cell): 0.0
Total DFT energy (no corrections) (eV/atom): -6.500
Energy of formation (kJ per mole of atoms): -137.7
D(E_F) (states/eV/atom): 0.12

Unit cell a=6.9548 b=4.0314 c=6.9758 alpha=90.00 beta=109.55 gamma=90.00
Space group P2/m (No. 10)
Symmetry-distinct sites (fractional):
Pm 0.0000 0.0000 0.0000
Er 0.0000 0.5000 0.5000
Sc 0.5000 0.0000 0.5000
Sc 0.5000 0.5000 0.0000
As 0.2657 0.0000 0.7507
As 0.2692 0.5000 0.2610



Entry 10:
Computed, not measured: a relaxed structure of K2Ga3Sn4Pb at the PBE level of DFT.

Calculated values
Total moment (μB per cell): 0.0
Total DFT energy (no corrections) (eV/atom): -3.224
Energy of formation (kJ per mole of atoms): -12.0
D(E_F) (states/eV/atom): 0.32

Unit cell a=5.1366 b=5.1366 c=11.2992 alpha=90.00 beta=90.00 gamma=90.00
Space group P-4m2 (No. 115)
Symmetry-distinct sites (fractional):
K 0.0000 0.5000 0.2479
Ga 0.0000 0.5000 0.8804
Ga 0.5000 0.5000 0.5000
Sn 0.0000 0.0000 0.0000
Sn 0.0000 0.5000 0.6370
Sn 0.5000 0.5000 0.0000
Pb 0.0000 0.0000 0.5000



Entry 11:
Computed, not measured: a relaxed structure of CaMn2Fe at the PBE level of DFT.

Calculated values
Total moment (μB per cell): 9.6
Total DFT energy (no corrections) (eV/atom): -6.573
Energy of formation (kJ per mole of atoms): 60.6
D(E_F) (states/eV/atom): 0.71

Unit cell a=4.0754 b=4.0754 c=4.0868 alpha=90.00 beta=90.00 gamma=90.00
Space group P4/mmm (No. 123)
Symmetry-distinct sites (fractional):
Ca 0.0000 0.0000 0.0000
Mn 0.0000 0.5000 0.5000
Fe 0.5000 0.5000 0.0000



Entry 12:
Computed, not measured: a relaxed structure of BaOs4Br at the PBE level of DFT.

Calculated values
Total moment (μB per cell): 13.7
Total DFT energy (no corrections) (eV/atom): -6.838
Energy relative to the elements, uncorrected (meV/atom): 1247.9
D(E_F) (states/eV/atom): 1.72

Unit cell a=7.7837 b=7.7837 c=7.7837 alpha=90.00 beta=90.00 gamma=90.00
Space group F-43m (No. 216)
Symmetry-distinct sites (fractional):
Ba 0.0000 0.0000 0.0000
Os 0.1243 0.1243 0.3757
Br 0.2500 0.2500 0.7500



Entry 13:
Computed, not measured: a relaxed structure of KSn3Ru at the PBE level of DFT.

Calculated values
Total moment (μB per cell): 2.5
Total DFT energy (no corrections) (eV/atom): -2.537
Energy of formation (kJ per mole of atoms): 187.2
D(E_F) (states/eV/atom): 1.09

Unit cell a=5.6701 b=5.6701 c=5.6701 alpha=90.00 beta=90.00 gamma=90.00
Space group Pm-3m (No. 221)
Symmetry-distinct sites (fractional):
K 0.0000 0.0000 0.0000
Sn 0.0000 0.0000 0.5000
Ru 0.5000 0.5000 0.5000